ZrTlN2: optimized geometry, GGA-PBEsol.

The structure belongs to space group I-42d (No. 122); the cell edges are 5.342, 5.342 and 9.779 Å and the angles 90.00°, 90.00° and 90.00°. The asymmetric unit holds Zr at (0.000, 0.000, 0.000), Tl at (0.000, 0.000, 0.500) and N at (0.188, 0.750, 0.125).

Its volume is 279 Å³/cell. The calculation puts the density of states at the Fermi level at 6.965 states/eV per cell.

=====

TaMnPS2: optimized geometry, GGA-PBEsol.

The structure belongs to space group P4/mmm (No. 123); the cell edges are 4.662, 4.662 and 4.929 Å and the angles 90.00°, 90.00° and 90.00°. The asymmetric unit holds Ta at (0.000, 0.000, 0.000), Mn at (0.500, 0.500, 0.500), P at (0.000, 0.000, 0.500) and S at (0.000, 0.500, 0.000).

Its volume is 107 Å³/cell. The calculation puts the density of states at the Fermi level at 2.082 states/eV per cell.

=====

La2Sc: optimized geometry, GGA-PBEsol.

The structure belongs to space group C2/m (No. 12); the cell edges are 11.901, 3.608 and 9.132 Å and the angles 90.00°, 111.86° and 90.00°. The asymmetric unit holds La at (0.000, 0.000, 0.213), La at (0.154, 0.500, 0.574) and Sc at (0.194, 0.500, 0.097).

As for the formation energy: 55 meV/atom. Its volume is 364 Å³/cell. The calculation puts the density of states at the Fermi level at 18.578 states/eV per cell. The calculation puts the energy above the most stable polymorph in this dataset at 0.013 eV per atom.

=====

CaInSe2: optimized geometry, GGA-PBEsol.

The structure belongs to space group P4/mmm (No. 123); the cell edges are 4.126, 4.126 and 5.878 Å and the angles 90.00°, 90.00° and 90.00°. The asymmetric unit holds Ca at (0.000, 0.000, 0.000), In at (0.500, 0.500, 0.500), Se at (0.000, 0.000, 0.500) and Se at (0.500, 0.500, 0.000).

Its volume is 100 Å³/cell. The calculation puts the density of states at the Fermi level at 1.038 states/eV per cell.

=====

Sr3HgBi: optimized geometry, GGA-PBEsol.

The structure belongs to space group Pm-3m (No. 221); the cell edges are 6.294, 6.294 and 6.294 Å and the angles 90.00°, 90.00° and 90.00°. The asymmetric unit holds Sr at (0.000, 0.000, 0.500), Hg at (0.500, 0.500, 0.500) and Bi at (0.000, 0.000, 0.000).

As for the formation energy: -228 meV/atom. Its volume is 249 Å³/cell. The calculation puts the density of states at the Fermi level at 4.986 states/eV per cell.

=====

ScCl2: optimized geometry, GGA-PBEsol.

The structure belongs to space group Pnma (No. 62); the cell edges are 11.660, 3.502 and 6.330 Å and the angles 90.00°, 90.00° and 90.00°. The asymmetric unit holds Sc at (0.116, 0.250, 0.061), Cl at (0.006, 0.750, 0.264) and Cl at (0.247, 0.750, 0.893).

Its volume is 258 Å³/cell. The calculation puts the density of states at the Fermi level at 9.192 states/eV per cell.

=====

Let's list final energy in order: -7.643 -7.179 -5.711 -4.430 -2.302 -5.427 eV per atom.